Record 1
The following is a PBE-GGA calculation of a relaxed structure of PmDy3Sn, from the Alexandria database.

Cell: 7.8829 7.8829 7.8829 Å, 87.32 114.83 128.82°
Last column: nearest neighbours and their distance in Å.
Atoms (fractional coordinates):
1 Dy 0.0088 0.2486 0.6895  1 Pm 3.26, 4 Dy 3.27-3.45, 2 Sn 3.29-3.41
2 Pm 0.5336 0.0299 0.0037  4 Dy 3.19-3.26, 2 Sn 3.22-3.23, 2 Pm 3.41
3 Pm 0.0262 0.5299 0.9963  4 Dy 3.19-3.26, 2 Sn 3.22-3.23, 2 Pm 3.41
4 Dy 0.5591 0.7486 0.7398  1 Pm 3.26, 4 Dy 3.27-3.45, 2 Sn 3.29-3.41
5 Sn 0.4520 0.2739 0.6780  6 Dy 3.05-3.41, 2 Pm 3.22-3.23
6 Dy 0.5591 0.3193 0.3105  1 Pm 3.26, 4 Dy 3.27-3.45, 2 Sn 3.29-3.41
7 Dy 0.1050 0.2866 0.3184  2 Sn 3.05-3.32, 2 Pm 3.19-3.20, 2 Dy 3.27
8 Sn 0.5959 0.7739 0.3220  6 Dy 3.05-3.41, 2 Pm 3.22-3.23
9 Dy 0.0088 0.8193 0.2602  1 Pm 3.26, 4 Dy 3.27-3.45, 2 Sn 3.29-3.41
10 Dy 0.9682 0.7866 0.6816  2 Sn 3.05-3.32, 2 Pm 3.19-3.20, 2 Dy 3.27

## Properties
The density of states at the Fermi level comes out at 12.9 states/eV per cell. The total energy comes out at -4.399 eV/atom. The calculated volume comes out at 33.0 Å³/atom. For the formation enthalpy at 0 K, the calculation gives 0.113 eV/atom.

Record 2
The following is a PBE-GGA calculation of a relaxed structure of Pm4DySn4, from the Alexandria database.

Cell: 6.4059 9.5217 9.5217 Å, 90.00 90.00 90.00°
Last column: nearest neighbours and their distance in Å.
Atoms (fractional coordinates):
1 Pm 0.6311 0.0824 0.2897  5 Sn 3.10-3.46
2 Sn 0.6367 0.7737 0.3917  1 Dy 2.94, 3 Pm 3.10-3.25, 1 Sn 3.10
3 Pm 0.8689 0.5824 0.7897  5 Sn 3.10-3.46
4 Sn 0.3633 0.6083 0.7737  1 Dy 2.94, 3 Pm 3.10-3.25, 1 Sn 3.10
5 Pm 0.1311 0.7897 0.4176  5 Sn 3.10-3.46
6 Dy 0.5000 0.5000 0.5000  4 Sn 2.94
7 Sn 0.6367 0.2263 0.6083  1 Dy 2.94, 3 Pm 3.10-3.25, 1 Sn 3.10
8 Pm 0.1311 0.2103 0.5824  5 Sn 3.10-3.46
9 Sn 0.3633 0.3917 0.2263  1 Dy 2.94, 3 Pm 3.10-3.25, 1 Sn 3.10
10 Pm 0.3689 0.2897 0.9176  5 Sn 3.10-3.46
11 Pm 0.3689 0.7103 0.0824  5 Sn 3.10-3.46
12 Pm 0.8689 0.4176 0.2103  5 Sn 3.10-3.46
13 Pm 0.6311 0.9176 0.7103  5 Sn 3.10-3.46
14 Sn 0.1367 0.8917 0.7263  1 Dy 2.94, 3 Pm 3.10-3.25, 1 Sn 3.10
15 Dy 0.0000 0.0000 0.0000  4 Sn 2.94
16 Sn 0.8633 0.7263 0.1083  1 Dy 2.94, 3 Pm 3.10-3.25, 1 Sn 3.10
17 Sn 0.8633 0.2737 0.8917  1 Dy 2.94, 3 Pm 3.10-3.25, 1 Sn 3.10
18 Sn 0.1367 0.1083 0.2737  1 Dy 2.94, 3 Pm 3.10-3.25, 1 Sn 3.10

## Properties
The density of states at the Fermi level comes out at 15.9 states/eV per cell. The total energy comes out at -4.877 eV/atom. The calculated volume comes out at 32.3 Å³/atom. For the formation enthalpy at 0 K, the calculation gives -0.475 eV/atom.